[1]
KRuW2: optimized geometry, PBE.

```
data_KRuW2
_symmetry_space_group_name_H-M 'P m m m'
_symmetry_Int_Tables_number 47
_symmetry_space_group_name_Hall '-P 2 2'
_cell_length_a 2.9770
_cell_length_b 4.7212
_cell_length_c 5.0082
_cell_angle_alpha 90.00
_cell_angle_beta 90.00
_cell_angle_gamma 90.00
loop_
_atom_site_label
_atom_site_fract_x
_atom_site_fract_y
_atom_site_fract_z
_atom_site_occupancy
K1 0.0000 0.0000 0.0000 1
Ru1 0.5000 0.5000 0.0000 1
W1 0.0000 0.5000 0.5000 1
W2 0.5000 0.0000 0.5000 1
```

Calculated values
Energy of formation, kJ/mol of atoms: 153
E_tot, eV per atom: -7.48
Energy above the most stable polymorph in this dataset, meV/atom: 820
Total magnetic moment, μB/f.u.: 0.3

***

[2]
KRuW2: optimized geometry, PBE.

```
data_KRuW2
_symmetry_space_group_name_H-M 'P 1 2/m 1'
_symmetry_Int_Tables_number 10
_symmetry_space_group_name_Hall '-P 2y'
_cell_length_a 2.7707
_cell_length_b 3.9123
_cell_length_c 8.3570
_cell_angle_alpha 90.00
_cell_angle_beta 96.67
_cell_angle_gamma 90.00
loop_
_atom_site_label
_atom_site_fract_x
_atom_site_fract_y
_atom_site_fract_z
_atom_site_occupancy
K1 0.0000 0.0000 0.0000 1
Ru1 0.0000 0.0000 0.5000 1
W1 0.4429 0.5000 0.3503 1
```

Calculated values
Energy of formation, kJ/mol of atoms: 87
E_tot, eV per atom: -8.17
Energy above the most stable polymorph in this dataset, meV/atom: 134
Total magnetic moment, μB/f.u.: 0.0

***

[3]
K2RuW: optimized geometry, PBE.

```
data_K2RuW
_symmetry_space_group_name_H-M 'C 1 m 1'
_symmetry_Int_Tables_number 8
_symmetry_space_group_name_Hall 'C -2y'
_cell_length_a 7.2692
_cell_length_b 3.1707
_cell_length_c 11.0481
_cell_angle_alpha 90.00
_cell_angle_beta 92.73
_cell_angle_gamma 90.00
loop_
_atom_site_label
_atom_site_fract_x
_atom_site_fract_y
_atom_site_fract_z
_atom_site_occupancy
K1 0.0000 0.0000 0.0000 1
K2 0.2323 0.0000 0.6093 1
Ru1 0.4806 0.0000 0.3699 1
W1 0.2608 0.5000 0.2705 1
```

Calculated values
Energy of formation, kJ/mol of atoms: 82
E_tot, eV per atom: -5.25
Energy above the most stable polymorph in this dataset, meV/atom: 73
Total magnetic moment, μB/f.u.: 0.0

***

[4]
KRuW2: optimized geometry, PBE.

```
data_KRuW2
_symmetry_space_group_name_H-M 'F -4 3 m'
_symmetry_Int_Tables_number 216
_symmetry_space_group_name_Hall 'F -4 2 3'
_cell_length_a 6.5339
_cell_length_b 6.5339
_cell_length_c 6.5339
_cell_angle_alpha 90.00
_cell_angle_beta 90.00
_cell_angle_gamma 90.00
loop_
_atom_site_label
_atom_site_fract_x
_atom_site_fract_y
_atom_site_fract_z
_atom_site_occupancy
K1 0.0000 0.0000 0.0000 1
Ru1 0.2500 0.2500 0.2500 1
W1 0.0000 0.0000 0.5000 1
W2 0.2500 0.2500 0.7500 1
```

Calculated values
Energy of formation, kJ/mol of atoms: 150
E_tot, eV per atom: -7.52
Energy above the most stable polymorph in this dataset, meV/atom: 782
Total magnetic moment, μB/f.u.: 0.0

***

[5]
KRuW2: optimized geometry, PBE.

```
data_KRuW2
_symmetry_space_group_name_H-M 'I m m 2'
_symmetry_Int_Tables_number 44
_symmetry_space_group_name_Hall 'I 2 -2'
_cell_length_a 2.9039
_cell_length_b 5.3718
_cell_length_c 9.9171
_cell_angle_alpha 90.00
_cell_angle_beta 90.00
_cell_angle_gamma 90.00
loop_
_atom_site_label
_atom_site_fract_x
_atom_site_fract_y
_atom_site_fract_z
_atom_site_occupancy
K1 0.0000 0.0000 0.0000 1
Ru1 0.0000 0.5000 0.7801 1
W1 0.0000 0.0000 0.4882 1
W2 0.0000 0.5000 0.2071 1
```

Calculated values
Energy of formation, kJ/mol of atoms: 133
E_tot, eV per atom: -7.70
Energy above the most stable polymorph in this dataset, meV/atom: 606
Total magnetic moment, μB/f.u.: 0.0

***

[6]
KRuW2: optimized geometry, PBE.

```
data_KRuW2
_symmetry_space_group_name_H-M 'R 3 m'
_symmetry_Int_Tables_number 160
_symmetry_space_group_name_Hall 'R 3 -2"'
_cell_length_a 2.8259
_cell_length_b 2.8259
_cell_length_c 32.0214
_cell_angle_alpha 90.00
_cell_angle_beta 90.00
_cell_angle_gamma 120.00
loop_
_atom_site_label
_atom_site_fract_x
_atom_site_fract_y
_atom_site_fract_z
_atom_site_occupancy
K1 0.0000 0.0000 0.0000 1
Ru1 0.0000 0.0000 0.2412 1
W1 0.0000 0.0000 0.5089 1
W2 0.0000 0.0000 0.7657 1
```

Calculated values
Energy of formation, kJ/mol of atoms: 77
E_tot, eV per atom: -8.27
Energy above the most stable polymorph in this dataset, meV/atom: 30
Total magnetic moment, μB/f.u.: 0.0

***

[7]
KRuW: optimized geometry, PBE.

```
data_KRuW
_symmetry_space_group_name_H-M 'F -4 3 m'
_symmetry_Int_Tables_number 216
_symmetry_space_group_name_Hall 'F -4 2 3'
_cell_length_a 6.3569
_cell_length_b 6.3569
_cell_length_c 6.3569
_cell_angle_alpha 90.00
_cell_angle_beta 90.00
_cell_angle_gamma 90.00
loop_
_atom_site_label
_atom_site_fract_x
_atom_site_fract_y
_atom_site_fract_z
_atom_site_occupancy
K1 0.0000 0.0000 0.0000 1
Ru1 0.2500 0.2500 0.2500 1
W1 0.0000 0.0000 0.5000 1
```

Calculated values
Energy of formation, kJ/mol of atoms: 179
E_tot, eV per atom: -5.92
Energy above the most stable polymorph in this dataset, meV/atom: 977
Total magnetic moment, μB/f.u.: 0.7

***

[8]
KRuW2: optimized geometry, PBE.

```
data_KRuW2
_symmetry_space_group_name_H-M 'P 4/m m m'
_symmetry_Int_Tables_number 123
_symmetry_space_group_name_Hall '-P 4 2'
_cell_length_a 4.9144
_cell_length_b 4.9144
_cell_length_c 2.8472
_cell_angle_alpha 90.00
_cell_angle_beta 90.00
_cell_angle_gamma 90.00
loop_
_atom_site_label
_atom_site_fract_x
_atom_site_fract_y
_atom_site_fract_z
_atom_site_occupancy
K1 0.0000 0.0000 0.0000 1
Ru1 0.5000 0.5000 0.0000 1
W1 0.0000 0.5000 0.5000 1
```

Calculated values
Energy of formation, kJ/mol of atoms: 176
E_tot, eV per atom: -7.24
Energy above the most stable polymorph in this dataset, meV/atom: 1059
Total magnetic moment, μB/f.u.: 0.0

***

[9]
KRuW2: optimized geometry, PBE.

```
data_KRuW2
_symmetry_space_group_name_H-M 'P 4 m m'
_symmetry_Int_Tables_number 99
_symmetry_space_group_name_Hall 'P 4 -2'
_cell_length_a 3.1355
_cell_length_b 3.1355
_cell_length_c 8.7910
_cell_angle_alpha 90.00
_cell_angle_beta 90.00
_cell_angle_gamma 90.00
loop_
_atom_site_label
_atom_site_fract_x
_atom_site_fract_y
_atom_site_fract_z
_atom_site_occupancy
K1 0.0000 0.0000 0.0000 1
Ru1 0.5000 0.5000 0.3134 1
W1 0.0000 0.0000 0.4681 1
W2 0.5000 0.5000 0.6430 1
```

Calculated values
Energy of formation, kJ/mol of atoms: 83
E_tot, eV per atom: -8.20
Energy above the most stable polymorph in this dataset, meV/atom: 97
Total magnetic moment, μB/f.u.: 0.0

***

[10]
KRuW2: optimized geometry, PBE.

```
data_KRuW2
_symmetry_space_group_name_H-M 'C 1 2/m 1'
_symmetry_Int_Tables_number 12
_symmetry_space_group_name_Hall '-C 2y'
_cell_length_a 12.2564
_cell_length_b 2.6629
_cell_length_c 5.2514
_cell_angle_alpha 90.00
_cell_angle_beta 115.25
_cell_angle_gamma 90.00
loop_
_atom_site_label
_atom_site_fract_x
_atom_site_fract_y
_atom_site_fract_z
_atom_site_occupancy
K1 0.0000 0.0000 0.0000 1
Ru1 0.0000 0.5000 0.5000 1
W1 0.2077 0.0000 0.7074 1
```

Calculated values
Energy of formation, kJ/mol of atoms: 115
E_tot, eV per atom: -7.87
Energy above the most stable polymorph in this dataset, meV/atom: 427
Total magnetic moment, μB/f.u.: 0.0

***

[11]
KRuW: optimized geometry, PBE.

```
data_KRuW
_symmetry_space_group_name_H-M 'I 4 m m'
_symmetry_Int_Tables_number 107
_symmetry_space_group_name_Hall 'I 4 -2'
_cell_length_a 3.1203
_cell_length_b 3.1203
_cell_length_c 14.2693
_cell_angle_alpha 90.00
_cell_angle_beta 90.00
_cell_angle_gamma 90.00
loop_
_atom_site_label
_atom_site_fract_x
_atom_site_fract_y
_atom_site_fract_z
_atom_site_occupancy
K1 0.0000 0.0000 0.0000 1
Ru1 0.0000 0.0000 0.6937 1
W1 0.0000 0.0000 0.2792 1
```

Calculated values
Energy of formation, kJ/mol of atoms: 85
E_tot, eV per atom: -6.90
Energy above the most stable polymorph in this dataset, meV/atom: 1
Total magnetic moment, μB/f.u.: 0.0

***

[12]
KRuW2: optimized geometry, PBE.

```
data_KRuW2
_symmetry_space_group_name_H-M 'R -3 m'
_symmetry_Int_Tables_number 166
_symmetry_space_group_name_Hall '-R 3 2"'
_cell_length_a 2.8219
_cell_length_b 2.8219
_cell_length_c 32.3742
_cell_angle_alpha 90.00
_cell_angle_beta 90.00
_cell_angle_gamma 120.00
loop_
_atom_site_label
_atom_site_fract_x
_atom_site_fract_y
_atom_site_fract_z
_atom_site_occupancy
K1 0.0000 0.0000 0.0000 1
Ru1 0.0000 0.0000 0.5000 1
W1 0.0000 0.0000 0.2350 1
```

Calculated values
Energy of formation, kJ/mol of atoms: 83
E_tot, eV per atom: -8.21
Energy above the most stable polymorph in this dataset, meV/atom: 95
Total magnetic moment, μB/f.u.: 0.2

***

Which of these has the lowest E_tot?
number 6

***

The highest total magnetic moment belongs to which entry?
number 7

***

Please write out number 3 again, unchanged.
K2RuW: optimized geometry, PBE.

```
data_K2RuW
_symmetry_space_group_name_H-M 'C 1 m 1'
_symmetry_Int_Tables_number 8
_symmetry_space_group_name_Hall 'C -2y'
_cell_length_a 7.2692
_cell_length_b 3.1707
_cell_length_c 11.0481
_cell_angle_alpha 90.00
_cell_angle_beta 92.73
_cell_angle_gamma 90.00
loop_
_atom_site_label
_atom_site_fract_x
_atom_site_fract_y
_atom_site_fract_z
_atom_site_occupancy
K1 0.0000 0.0000 0.0000 1
K2 0.2323 0.0000 0.6093 1
Ru1 0.4806 0.0000 0.3699 1
W1 0.2608 0.5000 0.2705 1
```

Calculated values
Energy of formation, kJ/mol of atoms: 82
E_tot, eV per atom: -5.25
Energy above the most stable polymorph in this dataset, meV/atom: 73
Total magnetic moment, μB/f.u.: 0.0